# 1
# AcTb5Tm6, optimized geometry, DFT GGA-PBE
data_AcTb5Tm6
_cell_length_a 6.1711
_cell_length_b 10.6811
_cell_length_c 11.7338
_cell_angle_alpha 90.00
_cell_angle_beta 100.07
_cell_angle_gamma 90.00
_space_group_name_H-M_alt 'C 1 2/m 1'
_space_group_IT_number 12
_space_group_name_Hall '-C 2y'
loop_
_atom_site_label
_atom_site_type_symbol
_atom_site_fract_x
_atom_site_fract_y
_atom_site_fract_z
_atom_site_occupancy
Ac1 Ac 0.0000 0.0000 0.0000 1
Tb1 Tb 0.0000 0.1669 0.5000 1
Tb2 Tb 0.0000 0.3334 0.0000 1
Tb3 Tb 0.0000 0.5000 0.5000 1
Tm1 Tm 0.2476 0.3319 0.7458 1
Tm2 Tm 0.2482 0.5000 0.2543 1
# Formation energy from the elements, eV/atom: 0.03
# Calculated total energy, eV per atom: -4.47
# DOS(E_F), states/eV/cell: 29.6

# 2
# MnAu2Cl, optimized geometry, DFT GGA-PBE
data_MnAu2Cl
_cell_length_a 5.4003
_cell_length_b 11.5618
_cell_length_c 3.1327
_cell_angle_alpha 90.00
_cell_angle_beta 125.27
_cell_angle_gamma 90.00
_space_group_name_H-M_alt 'C 1 2/m 1'
_space_group_IT_number 12
_space_group_name_Hall '-C 2y'
loop_
_atom_site_label
_atom_site_type_symbol
_atom_site_fract_x
_atom_site_fract_y
_atom_site_fract_z
_atom_site_occupancy
Mn1 Mn 0.0000 0.0000 0.0000 1
Au1 Au 0.2500 0.2500 0.5000 1
Cl1 Cl 0.0000 0.5000 0.0000 1
# Calculated total energy, eV per atom: -4.33
# E_form (uncorrected), eV/atom: 0.066
# Energy above the most stable polymorph in this dataset, meV per atom: 229
# DOS(E_F), states/eV/cell: 2.6